CeTaC | PBE | optimized geometry

a = 9.4622 Å, b = 9.4622 Å, c = 9.4622 Å
α = 90.00°, β = 90.00°, γ = 90.00°
Last column: nearest neighbours and their distance in Å.
Space group F-43m (No. 216)
Symmetry-distinct sites (fractional):
Ce (0.1231, 0.1231, 0.3769) x16  3 C 2.49
Ta (0.1161, 0.1161, 0.8839) x16  3 C 2.18
C (0.1139, 0.1139, 0.1139) x16  3 Ta 2.18

Energy relative to the elements, eV/atom: -0.13
Calculated volume, A^3/atom: 17.65
Total moment, Bohr magnetons per cell: 0.02



CeTaC | PBE | optimized geometry

a = 3.0686 Å, b = 3.0686 Å, c = 10.8145 Å
α = 90.00°, β = 90.00°, γ = 90.00°
Last column: nearest neighbours and their distance in Å.
Space group I4mm (No. 107)
Symmetry-distinct sites (fractional):
Ce (0.0000, 0.0000, 0.0000) x2  1 C 2.82, 1 Ta 3.00, 4 Ce 3.07
Ta (0.0000, 0.0000, 0.2775) x2  4 C 2.21
C (0.0000, 0.0000, 0.7388) x2  4 Ta 2.21

Energy relative to the elements, eV/atom: 0.05
Calculated volume, A^3/atom: 16.97
Total moment, Bohr magnetons per cell: 0.67



CeTaC | PBE | optimized geometry

a = 3.2309 Å, b = 3.2309 Å, c = 5.8427 Å
α = 90.00°, β = 90.00°, γ = 120.00°
Last column: nearest neighbours and their distance in Å.
Space group P3m1 (No. 156)
Symmetry-distinct sites (fractional):
Ce (0.0000, 0.0000, 0.0000) x1  3 C 2.53
Ta (0.6667, 0.3333, 0.5248) x1  3 C 2.15
C (0.3333, 0.6667, 0.7078) x1  3 Ta 2.15

Energy relative to the elements, eV/atom: -0.20
Calculated volume, A^3/atom: 17.61
Total moment, Bohr magnetons per cell: 0.85



CeTa2TcC4 | PBE | optimized geometry

a = 3.2776 Å, b = 11.3706 Å, c = 11.1599 Å
α = 90.00°, β = 90.00°, γ = 90.00°
Last column: nearest neighbours and their distance in Å.
Space group Cmcm (No. 63)
Symmetry-distinct sites (fractional):
Ce (0.0000, 0.1036, 0.2500) x4  6 C 2.49-2.71
Ta (0.0000, 0.3720, 0.0390) x8  3 C 2.07-2.23
Tc (0.0000, 0.1603, 0.7500) x4  4 C 1.95-1.99
C (0.0000, 0.0000, 0.0000) x4  4 Ta 2.23
C (0.0000, 0.2642, 0.6109) x8  1 Tc 1.95, 1 Ta 2.07
C (0.0000, 0.4384, 0.2500) x4  2 Tc 1.99

Energy relative to the elements, eV/atom: -0.26
Calculated volume, A^3/atom: 13.00
Total moment, Bohr magnetons per cell: 0.00



CeTaTcC3 | PBE | optimized geometry

a = 7.0837 Å, b = 3.2216 Å, c = 7.9433 Å
α = 90.00°, β = 98.49°, γ = 90.00°
Last column: nearest neighbours and their distance in Å.
Space group P2_1/m (No. 11)
Symmetry-distinct sites (fractional):
Ce (0.1629, 0.2500, 0.1838) x2  7 C 2.53-2.73
Ta (0.3634, 0.7500, 0.8720) x2  5 C 2.08-2.25
Tc (0.1218, 0.2500, 0.5993) x2  4 C 2.01-2.07
C (0.1405, 0.2500, 0.8591) x2  1 Tc 2.05, 2 Ta 2.25
C (0.1730, 0.7500, 0.4627) x2  3 Tc 2.01-2.07
C (0.4252, 0.7500, 0.1360) x2  3 Ta 2.08-2.21

Energy relative to the elements, eV/atom: -0.04
Calculated volume, A^3/atom: 14.94
Total moment, Bohr magnetons per cell: 0.00



CeThTaC3 | PBE | optimized geometry

a = 7.4936 Å, b = 3.7843 Å, c = 8.1231 Å
α = 90.00°, β = 96.29°, γ = 90.00°
Last column: nearest neighbours and their distance in Å.
Space group P2_1/m (No. 11)
Symmetry-distinct sites (fractional):
Ce (0.1223, 0.2500, 0.1668) x2  3 C 2.31-2.57
Th (0.3412, 0.7500, 0.8380) x2  5 C 2.49-2.68
Ta (0.3949, 0.7500, 0.3986) x2  4 C 2.07-2.15
C (0.1101, 0.2500, 0.8809) x2  3 Ce 2.31-2.57
C (0.3336, 0.2500, 0.4840) x2  3 Ta 2.08-2.15
C (0.4043, 0.7500, 0.1454) x2  1 Ta 2.07

Energy relative to the elements, eV/atom: -0.01
Calculated volume, A^3/atom: 19.08
Total moment, Bohr magnetons per cell: 0.00



CeTa2VC4 | PBE | optimized geometry

a = 3.2339 Å, b = 11.2509 Å, c = 11.1500 Å
α = 90.00°, β = 90.00°, γ = 90.00°
Last column: nearest neighbours and their distance in Å.
Space group Cmcm (No. 63)
Symmetry-distinct sites (fractional):
Ce (0.0000, 0.1051, 0.2500) x4  6 C 2.50-2.68
Ta (0.0000, 0.3708, 0.0410) x8  5 C 2.10-2.35
V (0.0000, 0.1632, 0.7500) x4  4 C 1.90-1.96
C (0.0000, 0.0000, 0.0000) x4  4 Ta 2.22
C (0.0000, 0.2627, 0.6127) x8  1 V 1.90, 1 Ta 2.10
C (0.0000, 0.4359, 0.2500) x4  2 V 1.96

Energy relative to the elements, eV/atom: -0.40
Calculated volume, A^3/atom: 12.68
Total moment, Bohr magnetons per cell: 0.00



CeTa2WC4 | PBE | optimized geometry

a = 3.2545 Å, b = 11.5393 Å, c = 11.3405 Å
α = 90.00°, β = 90.00°, γ = 90.00°
Last column: nearest neighbours and their distance in Å.
Space group Cmcm (No. 63)
Symmetry-distinct sites (fractional):
Ce (0.0000, 0.1070, 0.2500) x4  6 C 2.47-2.72
Ta (0.0000, 0.3724, 0.0353) x8  3 C 2.08-2.23
W (0.0000, 0.1590, 0.7500) x4  4 C 1.98-2.03
C (0.0000, 0.0000, 0.0000) x4  4 Ta 2.23
C (0.0000, 0.2627, 0.6104) x8  1 W 1.98, 1 Ta 2.08
C (0.0000, 0.4462, 0.2500) x4  2 W 2.03

Energy relative to the elements, eV/atom: -0.25
Calculated volume, A^3/atom: 13.31
Total moment, Bohr magnetons per cell: 0.00



CeTaWC3 | PBE | optimized geometry

a = 5.6511 Å, b = 3.2946 Å, c = 8.4225 Å
α = 90.00°, β = 102.59°, γ = 90.00°
Last column: nearest neighbours and their distance in Å.
Space group P2_1/m (No. 11)
Symmetry-distinct sites (fractional):
Ce (0.1437, 0.2500, 0.1941) x2  7 C 2.45-2.63
Ta (0.2673, 0.7500, 0.5447) x2  6 C 2.20-2.31
W (0.3753, 0.2500, 0.8612) x2  5 C 2.10-2.18
C (0.0673, 0.2500, 0.6558) x2  1 W 2.17, 3 Ta 2.24-2.31
C (0.2631, 0.7500, 0.9813) x2  3 W 2.10-2.18
C (0.4646, 0.7500, 0.3459) x2  1 W 2.13, 3 Ta 2.20-2.29

Energy relative to the elements, eV/atom: -0.33
Calculated volume, A^3/atom: 12.75
Total moment, Bohr magnetons per cell: 0.00



CeZrTaC3 | PBE | optimized geometry

a = 5.7694 Å, b = 3.4379 Å, c = 8.7106 Å
α = 90.00°, β = 102.35°, γ = 90.00°
Last column: nearest neighbours and their distance in Å.
Space group P2_1/m (No. 11)
Symmetry-distinct sites (fractional):
Ce (0.1459, 0.2500, 0.1935) x2  7 C 2.55-2.73
Zr (0.2670, 0.7500, 0.5451) x2  6 C 2.32-2.45
Ta (0.3687, 0.2500, 0.8610) x2  5 C 2.15-2.24
C (0.0631, 0.2500, 0.6670) x2  1 Ta 2.17, 1 Zr 2.35
C (0.2689, 0.7500, 0.9813) x2  3 Ta 2.15-2.24
C (0.4615, 0.7500, 0.3380) x2  1 Ta 2.17, 3 Zr 2.32-2.40

Energy relative to the elements, eV/atom: -0.47
Calculated volume, A^3/atom: 14.06
Total moment, Bohr magnetons per cell: 0.00



TbCe3C8 | PBE | optimized geometry

a = 9.1709 Å, b = 10.1928 Å, c = 8.0653 Å
α = 90.00°, β = 90.00°, γ = 90.00°
Last column: nearest neighbours and their distance in Å.
Space group Fmm2 (No. 42)
Symmetry-distinct sites (fractional):
Tb (0.0000, 0.0000, 0.0000) x4  8 C 2.48-2.56
Ce (0.0000, 0.0000, 0.5062) x4  8 C 2.48-2.77
Ce (0.2500, 0.2500, 0.1994) x8  6 C 2.52-2.72
C (0.0000, 0.1651, 0.7741) x8  1 C 1.32
C (0.0000, 0.2393, 0.9082) x8  1 C 1.32
C (0.1610, 0.0000, 0.2571) x8  1 C 1.31
C (0.2465, 0.0000, 0.6333) x8  1 C 1.31

Energy relative to the elements, eV/atom: 0.11
Calculated volume, A^3/atom: 15.71
Total moment, Bohr magnetons per cell: 6.84



TbCeC2 | PBE | optimized geometry

a = 3.6101 Å, b = 3.6101 Å, c = 17.9896 Å
α = 90.00°, β = 90.00°, γ = 120.00°
Last column: nearest neighbours and their distance in Å.
Space group R3m (No. 160, hexagonal axes)
Symmetry-distinct sites (fractional):
Tb (0.0000, 0.0000, 0.0000) x3  6 C 2.54-2.68
Ce (0.0000, 0.0000, 0.8308) x3  6 C 2.49-2.57
C (0.0000, 0.0000, 0.2400) x3  3 Ce 2.49, 3 Tb 2.68
C (0.0000, 0.0000, 0.4137) x3  3 Tb 2.54, 3 Ce 2.57

Energy relative to the elements, eV/atom: 0.11
Calculated volume, A^3/atom: 16.92
Total moment, Bohr magnetons per cell: 0.00



TbCe2C | PBE | optimized geometry

a = 3.5409 Å, b = 3.5409 Å, c = 27.4069 Å
α = 90.00°, β = 90.00°, γ = 120.00°
Last column: nearest neighbours and their distance in Å.
Space group R3m (No. 160, hexagonal axes)
Symmetry-distinct sites (fractional):
Tb (0.0000, 0.0000, 0.0000) x3  6 Tb 3.54, 6 Ce 3.68-3.79
Ce (0.0000, 0.0000, 0.5503) x3  3 C 2.48
Ce (0.0000, 0.0000, 0.7783) x3  3 C 2.52
C (0.0000, 0.0000, 0.1656) x3  6 Ce 2.48-2.52

Energy relative to the elements, eV/atom: -0.06
Calculated volume, A^3/atom: 24.80
Total moment, Bohr magnetons per cell: 1.37



Tb2CeC2 | PBE | optimized geometry

a = 11.5262 Å, b = 5.1245 Å, c = 7.2706 Å
α = 90.00°, β = 108.70°, γ = 90.00°
Last column: nearest neighbours and their distance in Å.
Space group C2/m (No. 12)
Symmetry-distinct sites (fractional):
Tb (0.0017, 0.0000, 0.2317) x4  4 C 2.44-2.58
Tb (0.1639, 0.5000, 0.0716) x4  5 C 2.55-2.77
Ce (0.1614, 0.5000, 0.5903) x4  3 C 2.33-2.52
C (0.0065, 0.5000, 0.7321) x4  2 Ce 2.33-2.52, 3 Tb 2.55-2.58
C (0.1709, 0.0000, 0.0989) x4  5 Tb 2.44-2.58, 1 Ce 2.46

Energy relative to the elements, eV/atom: -0.17
Calculated volume, A^3/atom: 20.34
Total moment, Bohr magnetons per cell: 0.00



Tb2CeC2 | PBE | optimized geometry

a = 3.6250 Å, b = 3.6250 Å, c = 28.4704 Å
α = 90.00°, β = 90.00°, γ = 120.00°
Last column: nearest neighbours and their distance in Å.
Space group R-3m (No. 166, hexagonal axes)
Symmetry-distinct sites (fractional):
Tb (0.0000, 0.0000, 0.2328) x6  3 C 2.44
Ce (0.0000, 0.0000, 0.0000) x3  6 C 2.64
C (0.0000, 0.0000, 0.3900) x6  3 Tb 2.44, 3 Ce 2.64

Energy relative to the elements, eV/atom: -0.19
Calculated volume, A^3/atom: 21.60
Total moment, Bohr magnetons per cell: 0.67



TbCe2C | PBE | optimized geometry

a = 3.5275 Å, b = 3.5275 Å, c = 28.1606 Å
α = 90.00°, β = 90.00°, γ = 120.00°
Last column: nearest neighbours and their distance in Å.
Space group R-3m (No. 166, hexagonal axes)
Symmetry-distinct sites (fractional):
Tb (0.0000, 0.0000, 0.0000) x3  6 Tb 3.53, 6 Ce 3.83
Ce (0.0000, 0.0000, 0.2182) x6  3 C 2.50
C (0.0000, 0.0000, 0.5000) x3  6 Ce 2.50

Energy relative to the elements, eV/atom: -0.03
Calculated volume, A^3/atom: 25.29
Total moment, Bohr magnetons per cell: 5.07



TbCe3C | PBE | optimized geometry

a = 5.0260 Å, b = 5.0260 Å, c = 5.0260 Å
α = 90.00°, β = 90.00°, γ = 90.00°
Last column: nearest neighbours and their distance in Å.
Space group Pm-3m (No. 221)
Symmetry-distinct sites (fractional):
Tb (0.0000, 0.0000, 0.0000) x1  12 Ce 3.55
Ce (0.0000, 0.5000, 0.5000) x3  2 C 2.51
C (0.5000, 0.5000, 0.5000) x1  6 Ce 2.51

Energy relative to the elements, eV/atom: 0.00
Calculated volume, A^3/atom: 25.39
Total moment, Bohr magnetons per cell: 0.02



Tb2Ce2C3 | PBE | optimized geometry

a = 13.2389 Å, b = 3.6205 Å, c = 6.1132 Å
α = 90.00°, β = 114.10°, γ = 90.00°
Last column: nearest neighbours and their distance in Å.
Space group C2/m (No. 12)
Symmetry-distinct sites (fractional):
Tb (0.1331, 0.0000, 0.4903) x4  5 C 2.54-2.65
Ce (0.1273, 0.5000, 0.9527) x4  4 C 2.44-2.59
C (0.0000, 0.5000, 0.5000) x2  4 Tb 2.54, 2 Ce 2.59
C (0.2340, 0.0000, 0.2153) x4  3 Ce 2.44-2.45, 3 Tb 2.54-2.65

Energy relative to the elements, eV/atom: -0.16
Calculated volume, A^3/atom: 19.10
Total moment, Bohr magnetons per cell: 2.10



TbCeC2 | PBE | optimized geometry

a = 3.6516 Å, b = 3.6516 Å, c = 17.7379 Å
α = 90.00°, β = 90.00°, γ = 120.00°
Last column: nearest neighbours and their distance in Å.
Space group R-3m (No. 166, hexagonal axes)
Symmetry-distinct sites (fractional):
Tb (0.0000, 0.0000, 0.0000) x3  6 C 2.61
Ce (0.0000, 0.0000, 0.5000) x3  6 C 2.54
C (0.0000, 0.0000, 0.2467) x6  3 Ce 2.54, 3 Tb 2.61

Energy relative to the elements, eV/atom: 0.00
Calculated volume, A^3/atom: 17.07
Total moment, Bohr magnetons per cell: 0.01



Tb2CeC | PBE | optimized geometry

a = 3.4992 Å, b = 3.4992 Å, c = 29.4693 Å
α = 90.00°, β = 90.00°, γ = 120.00°
Last column: nearest neighbours and their distance in Å.
Space group R-3m (No. 166, hexagonal axes)
Symmetry-distinct sites (fractional):
Tb (0.0000, 0.0000, 0.1200) x6  3 C 2.44
Ce (0.0000, 0.0000, 0.0000) x3  6 Ce 3.50, 2 Tb 3.54
C (0.0000, 0.0000, 0.5000) x3  6 Tb 2.44

Energy relative to the elements, eV/atom: -0.03
Calculated volume, A^3/atom: 26.04
Total moment, Bohr magnetons per cell: 4.60



Tb3CeC2 | PBE | optimized geometry

a = 16.3894 Å, b = 3.5877 Å, c = 12.4567 Å
α = 90.00°, β = 130.09°, γ = 90.00°
Last column: nearest neighbours and their distance in Å.
Space group C2/m (No. 12)
Symmetry-distinct sites (fractional):
Tb (0.1373, 0.0000, 0.1969) x4  3 C 2.48-2.50
Tb (0.1403, 0.5000, 0.9471) x4  3 C 2.49-2.50
Tb (0.1425, 0.5000, 0.4527) x4  3 C 2.49
Ce (0.1417, 0.0000, 0.6991) x4  3 C 2.47-2.48
C (0.2474, 0.5000, 0.3716) x4  1 Ce 2.48, 5 Tb 2.48-2.49
C (0.2499, 0.0000, 0.1267) x4  2 Ce 2.47, 4 Tb 2.49-2.50

Energy relative to the elements, eV/atom: -0.22
Calculated volume, A^3/atom: 23.35
Total moment, Bohr magnetons per cell: 5.98



TbCeTeC | PBE | optimized geometry

a = 3.8822 Å, b = 3.8822 Å, c = 21.3463 Å
α = 90.00°, β = 90.00°, γ = 120.00°
Last column: nearest neighbours and their distance in Å.
Space group R3m (No. 160, hexagonal axes)
Symmetry-distinct sites (fractional):
Tb (0.0000, 0.0000, 0.0000) x3  3 C 2.64
Ce (0.0000, 0.0000, 0.5410) x3  3 C 2.59
Te (0.0000, 0.0000, 0.7685) x3  3 Tb 3.12, 3 Ce 3.18
C (0.0000, 0.0000, 0.2681) x3  3 Ce 2.59, 3 Tb 2.64

Raw formation energy, meV/atom: -799.3
Calculated volume, A^3/atom: 23.22
Total moment, Bohr magnetons per cell: 1.85



Tb2CeTlC | PBE | optimized geometry

a = 4.9923 Å, b = 4.9923 Å, c = 4.9042 Å
α = 90.00°, β = 90.00°, γ = 90.00°
Last column: nearest neighbours and their distance in Å.
Space group P4/mmm (No. 123)
Symmetry-distinct sites (fractional):
Tb (0.0000, 0.5000, 0.0000) x2  2 C 2.50
Ce (0.0000, 0.0000, 0.5000) x1  2 C 2.45
Tl (0.5000, 0.5000, 0.5000) x1  8 Tb 3.50, 4 Ce 3.53
C (0.0000, 0.0000, 0.0000) x1  2 Ce 2.45, 4 Tb 2.50

Energy relative to the elements, eV/atom: -0.36
Calculated volume, A^3/atom: 24.45
Total moment, Bohr magnetons per cell: 0.41



Ce5TcC3 | PBE | optimized geometry

a = 11.2947 Å, b = 8.6766 Å, c = 7.8429 Å
α = 90.00°, β = 114.61°, γ = 90.00°
Last column: nearest neighbours and their distance in Å.
Space group C2/m (No. 12)
Symmetry-distinct sites (fractional):
Ce (0.0000, 0.2128, 0.0000) x4  3 C 2.49
Ce (0.0432, 0.0000, 0.3617) x4  2 C 2.35-2.49
Ce (0.1850, 0.3007, 0.6406) x8  4 C 2.53-2.83
Ce (0.2482, 0.5000, 0.0814) x4  3 C 2.46-2.64
Tc (0.0487, 0.5000, 0.2796) x4  3 C 1.97-2.03
C (0.0000, 0.5000, 0.0000) x2  2 Tc 2.03
C (0.0000, 0.5000, 0.5000) x2  2 Tc 2.02
C (0.1573, 0.0000, 0.1501) x4  6 Ce 2.46-2.53
C (0.2402, 0.5000, 0.4130) x4  1 Tc 1.97

Energy relative to the elements, eV/atom: -0.09
Calculated volume, A^3/atom: 19.41
Total moment, Bohr magnetons per cell: 0.09